RbSn2Pt2 | PBE-GGA | optimized geometry

Cell: 8.728 8.728 2.969 Å, 90.00 90.00 90.00°
Element x y z (fractional)
Rb  0.000  0.000  0.000
Rb  0.500  0.500  0.000
Sn  0.134  0.366  0.000
Sn  0.366  0.866  0.000
Sn  0.634  0.134  0.000
Sn  0.866  0.634  0.000
Pt  0.156  0.656  0.500
Pt  0.344  0.156  0.500
Pt  0.656  0.844  0.500
Pt  0.844  0.344  0.500

Results
For the energy above the most stable polymorph in this dataset, the calculation gives 1.25 eV per formula unit. The symmetry is No. 127. As for the formation energy from the elements: -19 kJ per mole of atoms.

Hf2AgW | PBE-GGA | optimized geometry

Cell: 4.726 4.726 3.389 Å, 90.00 90.00 90.00°
Element x y z (fractional)
Hf  0.000  0.500  0.000
Hf  0.500  0.000  0.000
Ag  0.000  0.000  0.500
W  0.500  0.500  0.500

Results
For the energy above the most stable polymorph in this dataset, the calculation gives 0.42 eV per formula unit. The symmetry is No. 123. As for the formation energy from the elements: 7 kJ per mole of atoms.

Hf3Sc3TcN8 | PBE-GGA | optimized geometry

Cell: 6.340 6.340 6.340 Å, 59.81 59.81 59.81°
Element x y z (fractional)
Hf  0.000  0.500  0.500
Hf  0.500  0.000  0.500
Hf  0.500  0.500  0.000
Sc  0.000  0.000  0.500
Sc  0.000  0.500  0.000
Sc  0.500  0.000  0.000
Tc  0.000  0.000  0.000
N  0.240  0.240  0.754
N  0.240  0.754  0.240
N  0.246  0.760  0.760
N  0.252  0.252  0.252
N  0.748  0.748  0.748
N  0.754  0.240  0.240
N  0.760  0.246  0.760
N  0.760  0.760  0.246

Results
The total energy is -9.879 eV per atom. The symmetry is No. 166.

BaY3Cd | PBE-GGA | optimized geometry

Cell: 5.827 5.827 5.827 Å, 90.00 90.00 90.00°
Element x y z (fractional)
Ba  0.000  0.000  0.000
Y  0.000  0.500  0.500
Y  0.500  0.000  0.500
Y  0.500  0.500  0.000
Cd  0.500  0.500  0.500

Results
For the energy above the most stable polymorph in this dataset, the calculation gives 0.00 eV per formula unit. The symmetry is No. 221. As for the formation energy from the elements: 23 kJ per mole of atoms.

What are the size of the total moment values for these records? In order: 0.0, 0.0, 2.2, 0.0 μB per formula unit.